1.
Density functional theory data (GGA-PBE) for a geometry-optimized LuMgAlPd structure.

Summary:
* VASP energy: -0.1572 hartree per atom
* volume: 306.9 Å³/cell

Cell lengths 6.745, 6.745, 6.745 Å; angles 90.00, 90.00, 90.00 degrees
Space group F-43m (No. 216)
Unique sites:
1 Lu 0.000 0.000 0.000
2 Mg 0.000 0.000 0.500
3 Al 0.250 0.250 0.750
4 Pd 0.250 0.250 0.250


2.
Density functional theory data (GGA-PBE) for a geometry-optimized PrNbTl structure.

Summary:
* VASP energy: -0.1864 hartree per atom
* volume: 357.8 Å³/cell

Cell lengths 7.100, 7.100, 7.100 Å; angles 90.00, 90.00, 90.00 degrees
Space group F-43m (No. 216)
Unique sites:
1 Pr 0.000 0.000 0.000
2 Nb 0.000 0.000 0.500
3 Tl 0.250 0.250 0.750


3.
Density functional theory data (GGA-PBE) for a geometry-optimized NaPrAu structure.

Summary:
* VASP energy: -0.1260 hartree per atom
* volume: 358.6 Å³/cell

Cell lengths 7.105, 7.105, 7.105 Å; angles 90.00, 90.00, 90.00 degrees
Space group F-43m (No. 216)
Unique sites:
1 Na 0.000 0.000 0.000
2 Pr 0.000 0.000 0.500
3 Au 0.250 0.250 0.250


4.
Density functional theory data (GGA-PBE) for a geometry-optimized PrGdRe structure.

Summary:
* energy relative to the elements: 1.143 eV per atom
* VASP energy: -0.2257 hartree per atom
* volume: 323.0 Å³/cell

Cell lengths 6.861, 6.861, 6.861 Å; angles 90.00, 90.00, 90.00 degrees
Space group F-43m (No. 216)
Unique sites:
1 Pr 0.000 0.000 0.000
2 Gd 0.250 0.250 0.250
3 Re 0.000 0.000 0.500


5.
Density functional theory data (GGA-PBE) for a geometry-optimized CdCoAsPt structure.

Summary:
* VASP energy: -0.1672 hartree per atom
* volume: 254.9 Å³/cell

Cell lengths 6.341, 6.341, 6.341 Å; angles 90.00, 90.00, 90.00 degrees
Space group F-43m (No. 216)
Unique sites:
1 Cd 0.000 0.000 0.000
2 Co 0.250 0.250 0.750
3 As 0.000 0.000 0.500
4 Pt 0.250 0.250 0.250


6.
Density functional theory data (GGA-PBE) for a geometry-optimized PaB structure.

Summary:
* VASP energy: -0.2767 hartree per atom
* volume: 174.1 Å³/cell

Cell lengths 5.584, 5.584, 5.584 Å; angles 90.00, 90.00, 90.00 degrees
Space group F-43m (No. 216)
Unique sites:
1 Pa 0.000 0.000 0.000
2 B 0.250 0.250 0.250


Copy entry 5 word for word.
Density functional theory data (GGA-PBE) for a geometry-optimized CdCoAsPt structure.

Summary:
* VASP energy: -0.1672 hartree per atom
* volume: 254.9 Å³/cell

Cell lengths 6.341, 6.341, 6.341 Å; angles 90.00, 90.00, 90.00 degrees
Space group F-43m (No. 216)
Unique sites:
1 Cd 0.000 0.000 0.000
2 Co 0.250 0.250 0.750
3 As 0.000 0.000 0.500
4 Pt 0.250 0.250 0.250